[1]
! La6Sm4Dy (PBE, relaxed); values from VASP
&SYSTEM
  ibrav = 0, nat = 22, ntyp = 3
/
ATOMIC_SPECIES
Sm 150.36 Sm.upf
La 138.91 La.upf
Dy 162.50 Dy.upf
CELL_PARAMETERS angstrom
6.007 0.000 0.000
-3.004 4.938 0.000
0.000 0.000 26.289
ATOMIC_POSITIONS crystal
Sm 0.148 0.296 0.045
Sm 0.852 0.704 0.545
Sm 0.448 0.896 0.376
Sm 0.852 0.704 0.955
Sm 0.552 0.104 0.876
Sm 0.552 0.104 0.624
Sm 0.148 0.296 0.455
Sm 0.448 0.896 0.124
La 0.794 0.589 0.103
La 0.559 0.118 0.750
La 0.794 0.589 0.397
La 0.500 0.000 0.000
La 0.116 0.233 0.183
La 0.884 0.767 0.683
La 0.500 0.000 0.500
La 0.116 0.233 0.317
La 0.884 0.767 0.817
La 0.206 0.411 0.603
La 0.441 0.882 0.250
La 0.206 0.411 0.897
Dy 0.218 0.435 0.750
Dy 0.782 0.565 0.250
! **ρ**: 6.80 g/cm3
! **ΔE to the lowest computed polymorph**: 0.0 kJ/mol of atoms
! **Symmetry**: Cmcm (63)
! **Energy of formation from the pure elements**: 0.100 eV/atom


[2]
! La2SmDy5 (PBE, relaxed); values from VASP
&SYSTEM
  ibrav = 0, nat = 16, ntyp = 3
/
ATOMIC_SPECIES
Dy 162.50 Dy.upf
Sm 150.36 Sm.upf
La 138.91 La.upf
CELL_PARAMETERS angstrom
5.123 0.000 0.000
0.000 7.196 0.000
0.000 0.000 14.397
ATOMIC_POSITIONS crystal
Dy 0.000 0.002 0.751
Dy 0.000 0.498 0.251
Dy 0.500 0.748 0.125
Dy 0.000 0.000 0.000
Dy 0.500 0.248 0.375
Dy 0.500 0.752 0.625
Dy 0.000 0.500 0.500
Dy 0.000 0.998 0.249
Dy 0.500 0.252 0.875
Dy 0.000 0.502 0.749
Sm 0.000 0.000 0.500
Sm 0.000 0.500 0.000
La 0.500 0.748 0.374
La 0.500 0.252 0.626
La 0.500 0.752 0.874
La 0.500 0.248 0.126
! **ρ**: 7.76 g/cm3
! **ΔE to the lowest computed polymorph**: 0.0 kJ/mol of atoms
! **Symmetry**: Pbam (55)
! **Energy of formation from the pure elements**: 0.028 eV/atom


[3]
! La9SmDy2 (PBE, relaxed); values from VASP
&SYSTEM
  ibrav = 0, nat = 12, ntyp = 3
/
ATOMIC_SPECIES
Dy 162.50 Dy.upf
La 138.91 La.upf
Sm 150.36 Sm.upf
CELL_PARAMETERS angstrom
-3.849 2.643 -2.318
0.445 -3.043 -4.208
-10.461 -9.916 6.064
ATOMIC_POSITIONS crystal
Dy 0.000 0.000 0.666
Dy 0.000 0.000 0.334
La 0.500 0.500 0.666
La 0.000 0.500 0.500
La 0.500 0.000 0.500
La 0.500 0.500 0.334
La 0.000 0.500 0.832
La 0.500 0.000 0.832
La 0.500 0.000 0.168
La 0.500 0.500 0.000
La 0.000 0.500 0.168
Sm 0.000 0.000 0.000
! **ρ**: 6.74 g/cm3
! **Symmetry**: P4/mmm (123)
! **Energy of formation from the pure elements**: 0.007 eV/atom


[4]
! La3Sm4Dy4 (PBE, relaxed); values from VASP
&SYSTEM
  ibrav = 0, nat = 11, ntyp = 3
/
ATOMIC_SPECIES
La 138.91 La.upf
Dy 162.50 Dy.upf
Sm 150.36 Sm.upf
CELL_PARAMETERS angstrom
5.792 0.000 0.000
-2.896 6.089 0.000
0.000 0.000 10.827
ATOMIC_POSITIONS crystal
La 0.411 0.822 0.711
La 0.253 0.506 0.000
La 0.411 0.822 0.289
Dy 0.557 0.114 0.000
Dy 0.614 0.229 0.500
Dy 0.107 0.214 0.304
Dy 0.107 0.214 0.696
Sm 0.748 0.497 0.784
Sm 0.956 0.912 0.000
Sm 0.748 0.497 0.216
Sm 0.886 0.772 0.500
! **ρ**: 7.25 g/cm3
! **ΔE to the lowest computed polymorph**: 0.0 kJ/mol of atoms
! **Symmetry**: Amm2 (38)
! **Energy of formation from the pure elements**: 0.152 eV/atom


[5]
! La4Sm4Dy3 (PBE, relaxed); values from VASP
&SYSTEM
  ibrav = 0, nat = 11, ntyp = 3
/
ATOMIC_SPECIES
Dy 162.50 Dy.upf
La 138.91 La.upf
Sm 150.36 Sm.upf
CELL_PARAMETERS angstrom
3.602 0.000 -0.664
-0.865 8.347 -4.698
0.366 1.308 12.098
ATOMIC_POSITIONS crystal
Dy 0.897 0.897 0.793
Dy 0.103 0.103 0.207
Dy 0.000 0.500 0.000
La 0.645 0.814 0.290
La 0.355 0.186 0.710
La 0.645 0.476 0.290
La 0.355 0.524 0.710
Sm 0.500 0.187 0.000
Sm 0.500 0.813 0.000
Sm 0.266 0.766 0.532
Sm 0.734 0.234 0.468
! **ρ**: 7.03 g/cm3
! **ΔE to the lowest computed polymorph**: 0.0 kJ/mol of atoms
! **Symmetry**: Immm (71)
! **Energy of formation from the pure elements**: 0.118 eV/atom


[6]
! La8SmDy6 (PBE, relaxed); values from VASP
&SYSTEM
  ibrav = 0, nat = 15, ntyp = 3
/
ATOMIC_SPECIES
Dy 162.50 Dy.upf
La 138.91 La.upf
Sm 150.36 Sm.upf
CELL_PARAMETERS angstrom
-2.478 4.961 3.738
-0.459 -5.847 7.457
7.850 5.094 -1.558
ATOMIC_POSITIONS crystal
Dy 0.347 0.098 0.438
Dy 0.653 0.438 0.340
Dy 0.653 0.902 0.562
Dy 0.347 0.562 0.660
Dy 0.347 0.340 0.902
Dy 0.653 0.660 0.098
La 0.168 0.751 0.045
La 0.120 0.667 0.333
La 0.832 0.706 0.751
La 0.832 0.249 0.955
La 0.168 0.955 0.706
La 0.168 0.294 0.249
La 0.832 0.045 0.294
La 0.880 0.333 0.667
Sm 0.500 0.000 0.000
! **ρ**: 7.12 g/cm3
! **Symmetry**: P-3 (147)
! **Energy of formation from the pure elements**: 0.167 eV/atom


[7]
! La15SmDy4 (PBE, relaxed); values from VASP
&SYSTEM
  ibrav = 0, nat = 20, ntyp = 3
/
ATOMIC_SPECIES
La 138.91 La.upf
Dy 162.50 Dy.upf
Sm 150.36 Sm.upf
CELL_PARAMETERS angstrom
-2.905 -2.766 3.332
0.372 -4.157 -3.127
21.569 -7.522 12.563
ATOMIC_POSITIONS crystal
La 0.500 0.500 0.600
La 0.500 0.000 0.300
La 0.000 0.500 0.700
La 0.000 0.500 0.300
La 0.500 0.000 0.700
La 0.000 0.500 0.500
La 0.500 0.500 0.200
La 0.500 0.500 0.400
La 0.500 0.500 0.000
La 0.500 0.000 0.101
La 0.500 0.500 0.800
La 0.500 0.000 0.500
La 0.000 0.500 0.899
La 0.000 0.500 0.101
La 0.500 0.000 0.899
Dy 0.000 0.000 0.200
Dy 0.000 0.000 0.800
Dy 0.000 0.000 0.600
Dy 0.000 0.000 0.400
Sm 0.000 0.000 0.000
! **ρ**: 6.75 g/cm3
! **Symmetry**: P4/mmm (123)
! **Energy of formation from the pure elements**: 0.009 eV/atom


[8]
! La2Sm4Dy5 (PBE, relaxed); values from VASP
&SYSTEM
  ibrav = 0, nat = 11, ntyp = 3
/
ATOMIC_SPECIES
Sm 150.36 Sm.upf
Dy 162.50 Dy.upf
La 138.91 La.upf
CELL_PARAMETERS angstrom
6.736 0.000 0.000
3.368 7.904 2.673
3.368 4.647 8.630
ATOMIC_POSITIONS crystal
Sm 0.586 0.233 0.594
Sm 0.756 0.683 0.804
Sm 0.244 0.317 0.196
Sm 0.414 0.767 0.406
Dy 0.652 0.270 0.905
Dy 0.173 0.270 0.905
Dy 0.000 0.500 0.500
Dy 0.827 0.730 0.095
Dy 0.348 0.730 0.095
La 0.199 0.898 0.703
La 0.801 0.102 0.297
! **ρ**: 7.48 g/cm3
! **ΔE to the lowest computed polymorph**: 7.4 kJ/mol of atoms
! **Symmetry**: C2/m (12)
! **Energy of formation from the pure elements**: 0.148 eV/atom


[9]
! La2SmDy2 (PBE, relaxed); values from VASP
&SYSTEM
  ibrav = 0, nat = 10, ntyp = 3
/
ATOMIC_SPECIES
La 138.91 La.upf
Dy 162.50 Dy.upf
Sm 150.36 Sm.upf
CELL_PARAMETERS angstrom
-9.216 1.207 -0.569
0.538 -2.964 -8.811
2.754 -3.157 4.857
ATOMIC_POSITIONS crystal
La 0.740 0.616 0.439
La 0.260 0.384 0.561
La 0.616 0.740 0.939
La 0.384 0.260 0.061
Dy 0.682 0.318 0.750
Dy 0.803 0.197 0.250
Dy 0.318 0.682 0.250
Dy 0.197 0.803 0.750
Sm 0.928 0.072 0.750
Sm 0.072 0.928 0.250
! **ρ**: 7.09 g/cm3
! **ΔE to the lowest computed polymorph**: 0.0 kJ/mol of atoms
! **Symmetry**: C2/c (15)
! **Energy of formation from the pure elements**: 0.277 eV/atom


[10]
! LaSm6Dy3 (PBE, relaxed); values from VASP
&SYSTEM
  ibrav = 0, nat = 20, ntyp = 3
/
ATOMIC_SPECIES
Dy 162.50 Dy.upf
Sm 150.36 Sm.upf
La 138.91 La.upf
CELL_PARAMETERS angstrom
-4.363 3.155 -3.276
-7.396 -1.882 8.038
6.346 9.083 0.296
ATOMIC_POSITIONS crystal
Dy 0.587 0.616 0.384
Dy 0.964 0.711 0.940
Dy 0.464 0.289 0.060
Dy 0.464 0.940 0.711
Dy 0.964 0.060 0.289
Dy 0.087 0.384 0.616
Sm 0.875 0.471 0.053
Sm 0.047 0.708 0.626
Sm 0.547 0.292 0.374
Sm 0.375 0.529 0.947
Sm 0.375 0.053 0.471
Sm 0.143 0.719 0.281
Sm 0.547 0.626 0.708
Sm 0.379 0.962 0.038
Sm 0.875 0.947 0.529
Sm 0.879 0.038 0.962
Sm 0.047 0.374 0.292
Sm 0.643 0.281 0.719
La 0.604 0.808 0.192
La 0.104 0.192 0.808
! **ρ**: 7.58 g/cm3
! **ΔE to the lowest computed polymorph**: 0.0 kJ/mol of atoms
! **Symmetry**: Cmc2_1 (36)
! **Energy of formation from the pure elements**: 0.147 eV/atom


[11]
! LaSm8Dy6 (PBE, relaxed); values from VASP
&SYSTEM
  ibrav = 0, nat = 15, ntyp = 3
/
ATOMIC_SPECIES
Sm 150.36 Sm.upf
Dy 162.50 Dy.upf
La 138.91 La.upf
CELL_PARAMETERS angstrom
7.897 0.000 4.548
2.639 7.443 4.548
0.228 0.161 8.734
ATOMIC_POSITIONS crystal
Sm 0.251 0.887 0.580
Sm 0.577 0.577 0.268
Sm 0.749 0.113 0.420
Sm 0.423 0.423 0.732
Sm 0.718 0.749 0.420
Sm 0.282 0.251 0.580
Sm 0.113 0.718 0.420
Sm 0.887 0.282 0.580
Dy 0.535 0.246 0.121
Dy 0.246 0.098 0.121
Dy 0.902 0.465 0.879
Dy 0.465 0.754 0.879
Dy 0.754 0.902 0.879
Dy 0.098 0.535 0.121
La 0.000 0.000 0.000
! **ρ**: 7.67 g/cm3
! **Symmetry**: R-3 (148)
! **Energy of formation from the pure elements**: 0.130 eV/atom


[12]
! La4Sm7Dy (PBE, relaxed); values from VASP
&SYSTEM
  ibrav = 0, nat = 12, ntyp = 3
/
ATOMIC_SPECIES
Sm 150.36 Sm.upf
Dy 162.50 Dy.upf
La 138.91 La.upf
CELL_PARAMETERS angstrom
6.095 0.000 0.000
3.048 11.596 -0.368
3.048 0.139 6.105
ATOMIC_POSITIONS crystal
Sm 0.500 0.000 0.000
Sm 0.367 0.496 0.770
Sm 0.633 0.504 0.230
Sm 0.788 0.923 0.501
Sm 0.070 0.690 0.170
Sm 0.930 0.310 0.830
Sm 0.212 0.077 0.499
Dy 0.000 0.000 0.000
La 0.220 0.335 0.225
La 0.780 0.665 0.775
La 0.640 0.222 0.499
La 0.360 0.778 0.501
! **ρ**: 6.81 g/cm3
! **Symmetry**: C2/m (12)
! **Energy of formation from the pure elements**: 0.237 eV/atom


Computed magnetic moment (μB/cell) in order:
0.000, 0.000, 0.000, 0.000, 0.000, 0.000, 0.000, 0.000, 0.000, 0.000, 0.000, 0.000